# 1
# Nd2SmDy2Tm2

Crystalline Nd2SmDy2Tm2 at its relaxed geometry (GGA-PBE, the Alexandria database).

Cell: 5.953 5.594 9.609 Å, 62.76 90.00 122.15°
Element x y z (fractional)
Nd: 0.281 0.561 0.077
Sm: 0.000 0.000 0.500
Dy: 0.569 0.139 0.644
Dy: 0.431 0.861 0.356
Tm: 0.146 0.292 0.783
Tm: 0.854 0.708 0.217
Nd: 0.719 0.439 0.923

* magnetic moment: 0.0000 μB per atom
* calculated formation energy: 0.123 eV per atom

***

# 2
# NbFeTc2B

Crystalline NbFeTc2B at its relaxed geometry (GGA-PBE, the Alexandria database).

Cell: 4.158 4.158 3.839 Å, 90.00 90.00 90.00°
Site moments in Bohr magnetons follow the coordinates.
Element x y z (fractional)
Nb: 0.500 0.500 0.500  -0.13
Tc: 0.000 0.500 0.000  0.04
Tc: 0.500 0.000 0.000  0.04
Fe: 0.000 0.000 0.500  1.43
B: 0.000 0.000 0.000  -0.04

* magnetic moment: 0.2676 μB per atom
* calculated formation energy: -0.119 eV per atom

***

# 3
# FeTcRh

Crystalline FeTcRh at its relaxed geometry (GGA-PBE, the Alexandria database).

Cell: 4.008 4.008 4.008 Å, 60.00 60.00 60.00°
Site moments in Bohr magnetons follow the coordinates.
Element x y z (fractional)
Tc: 0.500 0.500 0.500  -0.60
Fe: 0.750 0.750 0.750  1.81
Rh: 0.000 0.000 0.000  0.17

* energy above the most stable polymorph in this dataset: 491.1 meV per atom
* magnetic moment: 0.4379 μB per atom
* calculated formation energy: 0.496 eV per atom

***

# 4
# Sr2Li2Y

Crystalline Sr2Li2Y at its relaxed geometry (GGA-PBE, the Alexandria database).

Cell: 9.645 9.645 3.734 Å, 90.00 90.00 90.00°
Element x y z (fractional)
Sr: 0.359 0.859 0.000
Sr: 0.859 0.641 0.000
Li: 0.161 0.661 0.500
Sr: 0.641 0.141 0.000
Y: 0.000 0.000 0.000
Sr: 0.141 0.359 0.000
Li: 0.339 0.161 0.500
Li: 0.661 0.839 0.500
Y: 0.500 0.500 0.000
Li: 0.839 0.339 0.500

* energy above the most stable polymorph in this dataset: 103.9 meV per atom
* magnetic moment: 0.0000 μB per atom
* calculated formation energy: 0.268 eV per atom

***

# 5
# Ce2PmOs

Crystalline Ce2PmOs at its relaxed geometry (GGA-PBE, the Alexandria database).

Cell: 3.980 3.980 9.019 Å, 77.25 77.25 60.00°
Element x y z (fractional)
Pm: 0.501 0.501 0.497
Ce: 0.275 0.275 0.176
Os: 0.666 0.666 0.003
Ce: 0.059 0.059 0.824

* energy above the most stable polymorph in this dataset: 145.1 meV per atom
* magnetic moment: 0.0007 μB per atom
* calculated formation energy: 0.015 eV per atom

***

# 6
# SrPd3Cl9

Crystalline SrPd3Cl9 at its relaxed geometry (GGA-PBE, the Alexandria database).

Cell: 8.635 8.635 11.995 Å, 90.00 90.00 104.62°
Site moments in Bohr magnetons follow the coordinates.
Element x y z (fractional)
Sr: 0.427 0.427 0.500  0.00
Pd: 0.100 0.152 0.653  0.17
Cl: 0.540 0.762 0.557  0.04
Cl: 0.942 0.157 0.921  0.04
Cl: 0.636 0.752 0.210  0.02
Cl: 0.364 0.248 0.710  0.02
Cl: 0.248 0.364 0.290  0.02
Cl: 0.238 0.460 0.943  0.04
Cl: 0.843 0.058 0.579  0.04
Cl: 0.157 0.942 0.079  0.04
Cl: 0.058 0.843 0.421  0.04
Pd: 0.197 0.197 0.000  0.19
Cl: 0.600 0.897 0.921  0.03
Cl: 0.752 0.636 0.790  0.02
Cl: 0.914 0.086 0.250  0.03
Pd: 0.848 0.900 0.847  0.17
Pd: 0.152 0.100 0.347  0.17
Cl: 0.762 0.540 0.443  0.04
Sr: 0.573 0.573 0.000  0.00
Pd: 0.803 0.803 0.500  0.19
Cl: 0.460 0.238 0.057  0.04
Pd: 0.900 0.848 0.153  0.17
Cl: 0.897 0.600 0.079  0.03
Cl: 0.400 0.103 0.421  0.03
Cl: 0.103 0.400 0.579  0.03
Cl: 0.086 0.914 0.750  0.03

* magnetic moment: 0.0714 μB per atom
* E_form (uncorrected): -10.9 eV per formula unit

***

# 7
# Sr2Bi2Sb

Crystalline Sr2Bi2Sb at its relaxed geometry (GGA-PBE, the Alexandria database).

Cell: 8.557 8.557 4.846 Å, 90.00 90.00 90.00°
Element x y z (fractional)
Sr: 0.172 0.672 0.500
Sr: 0.328 0.172 0.500
Sb: 0.000 0.000 0.000
Bi: 0.367 0.867 0.000
Sr: 0.672 0.828 0.500
Bi: 0.867 0.633 0.000
Bi: 0.633 0.133 0.000
Sb: 0.500 0.500 0.000
Sr: 0.828 0.328 0.500
Bi: 0.133 0.367 0.000

* energy above the most stable polymorph in this dataset: 0.0 meV per atom
* magnetic moment: 0.0000 μB per atom
* E_form (uncorrected): -3.1 eV per formula unit

***

# 8
# Ag2OsF6

Crystalline Ag2OsF6 at its relaxed geometry (GGA-PBE, the Alexandria database).

Cell: 6.277 5.907 9.137 Å, 90.00 90.05 90.00°
Site moments in Bohr magnetons follow the coordinates.
Element x y z (fractional)
Ag: 0.500 0.000 0.702  0.01
Ag: 0.000 0.500 0.202  0.01
F: 0.865 0.813 0.348  0.07
F: 0.365 0.687 0.848  0.07
F: 0.135 0.187 0.652  0.07
Os: 0.000 0.000 0.500  1.54
F: 0.774 0.671 0.000  0.04
F: 0.274 0.829 0.500  0.04
Ag: 0.000 0.500 0.798  0.01
F: 0.635 0.313 0.848  0.07
F: 0.365 0.687 0.152  0.07
F: 0.635 0.313 0.152  0.07
F: 0.135 0.187 0.348  0.07
Os: 0.500 0.500 0.000  1.54
Ag: 0.500 0.000 0.298  0.01
F: 0.726 0.171 0.500  0.04
F: 0.226 0.329 0.000  0.04
F: 0.865 0.813 0.652  0.07

* energy above the most stable polymorph in this dataset: 12.2 meV per atom
* magnetic moment: 0.2222 μB per atom
* E_form (uncorrected): -12.3 eV per formula unit

***

# 9
# CsCuMo

Crystalline CsCuMo at its relaxed geometry (GGA-PBE, the Alexandria database).

Cell: 12.003 3.395 9.516 Å, 90.00 90.00 90.00°
Element x y z (fractional)
Mo: 0.536 0.750 0.574
Mo: 0.464 0.250 0.426
Cs: 0.678 0.750 0.923
Cu: 0.426 0.250 0.723
Cu: 0.574 0.750 0.277
Cs: 0.322 0.250 0.077
Mo: 0.036 0.750 0.926
Mo: 0.964 0.250 0.074
Cs: 0.822 0.250 0.423
Cu: 0.074 0.750 0.223
Cs: 0.178 0.750 0.577
Cu: 0.926 0.250 0.777

* energy above the most stable polymorph in this dataset: 12.7 meV per atom
* magnetic moment: 0.0000 μB per atom
* calculated formation energy: 0.910 eV per atom

***

# 10
# ThPa2Au

Crystalline ThPa2Au at its relaxed geometry (GGA-PBE, the Alexandria database).

Cell: 3.225 3.225 11.850 Å, 82.18 82.18 60.00°
Element x y z (fractional)
Au: 0.000 0.000 0.000
Pa: 0.916 0.916 0.253
Th: 0.500 0.500 0.500
Pa: 0.084 0.084 0.747

* magnetic moment: 0.0000 μB per atom
* calculated formation energy: 0.341 eV per atom

***

# 11
# CaHgIr3

Crystalline CaHgIr3 at its relaxed geometry (GGA-PBE, the Alexandria database).

Cell: 4.812 4.812 4.812 Å, 90.00 90.00 90.00°
Element x y z (fractional)
Hg: 0.500 0.500 0.500
Ir: 0.000 0.500 0.000
Ir: 0.500 0.000 0.000
Ca: 0.000 0.000 0.000
Ir: 0.000 0.000 0.500

* energy above the most stable polymorph in this dataset: 595.5 meV per atom
* magnetic moment: 0.0000 μB per atom
* calculated formation energy: 2.186 eV per atom

***

# 12
# KRb12Ag6

Crystalline KRb12Ag6 at its relaxed geometry (GGA-PBE, the Alexandria database).

Cell: 11.322 11.322 11.322 Å, 109.47 109.47 109.47°
Element x y z (fractional)
Ag: 0.391 0.500 0.891
Rb: 0.498 0.816 0.682
Ag: 0.109 0.609 0.500
Rb: 0.184 0.318 0.502
Ag: 0.500 0.891 0.391
Ag: 0.891 0.391 0.500
Rb: 0.682 0.498 0.816
Rb: 0.682 0.866 0.184
Ag: 0.500 0.109 0.609
Rb: 0.184 0.682 0.866
Rb: 0.816 0.682 0.498
Rb: 0.318 0.502 0.184
K: 0.000 0.000 0.000
Rb: 0.318 0.134 0.816
Rb: 0.866 0.184 0.682
Rb: 0.134 0.816 0.318
Rb: 0.502 0.184 0.318
Rb: 0.816 0.318 0.134
Ag: 0.609 0.500 0.109

* magnetic moment: 0.0000 μB per atom
* calculated formation energy: 0.051 eV per atom

***

# 13
# Y2BeAlI

Crystalline Y2BeAlI at its relaxed geometry (GGA-PBE, the Alexandria database).

Cell: 5.595 5.243 5.595 Å, 90.00 90.00 90.00°
Element x y z (fractional)
Be: 0.500 0.500 0.500
Al: 0.000 0.500 0.000
I: 0.000 0.000 0.000
Y: 0.000 0.000 0.500
Y: 0.500 0.000 0.000

* magnetic moment: 0.0000 μB per atom
* E_form (uncorrected): 4.9 eV per formula unit

***

# 14
# Sr3LiRh

Crystalline Sr3LiRh at its relaxed geometry (GGA-PBE, the Alexandria database).

Cell: 29.089 6.945 11.052 Å, 90.00 160.62 90.00°
Element x y z (fractional)
Sr: 0.666 0.106 0.966
Sr: 0.610 0.081 0.450
Sr: 0.665 0.578 0.805
Li: 0.542 0.473 0.962
Sr: 0.835 0.078 0.695
Li: 0.042 0.027 0.462
Rh: 0.046 0.779 0.256
Sr: 0.834 0.606 0.534
Sr: 0.165 0.922 0.305
Sr: 0.166 0.394 0.466
Sr: 0.110 0.419 0.950
Li: 0.958 0.973 0.538
Li: 0.458 0.527 0.038
Sr: 0.890 0.581 0.050
Rh: 0.954 0.221 0.744
Sr: 0.334 0.894 0.034
Sr: 0.390 0.919 0.550
Rh: 0.454 0.279 0.244
Sr: 0.335 0.422 0.195
Rh: 0.546 0.721 0.756

* energy above the most stable polymorph in this dataset: 37.3 meV per atom
* magnetic moment: 0.0000 μB per atom
* calculated formation energy: -0.110 eV per atom

***

# 15
# Na2PtC2

Crystalline Na2PtC2 at its relaxed geometry (GGA-PBE, the Alexandria database).

Cell: 5.365 5.365 4.313 Å, 90.00 90.00 90.00°
Element x y z (fractional)
Na: 0.309 0.191 0.500
Na: 0.809 0.309 0.500
Pt: 0.000 0.000 0.000
Na: 0.191 0.691 0.500
C: 0.909 0.591 0.000
C: 0.591 0.091 0.000
C: 0.409 0.909 0.000
Na: 0.691 0.809 0.500
Pt: 0.500 0.500 0.000
C: 0.091 0.409 0.000

* energy above the most stable polymorph in this dataset: 365.0 meV per atom
* magnetic moment: 0.0000 μB per atom
* calculated formation energy: 0.307 eV per atom

***

# 16
# LiSb2TeW

Crystalline LiSb2TeW at its relaxed geometry (GGA-PBE, the Alexandria database).

Cell: 4.839 4.839 5.070 Å, 90.00 90.00 90.00°
Site moments in Bohr magnetons follow the coordinates.
Element x y z (fractional)
Li: 0.000 0.000 0.000  0.03
Sb: 0.000 0.500 0.000  -0.06
Te: 0.000 0.000 0.500  -0.06
W: 0.500 0.500 0.500  2.55
Sb: 0.500 0.000 0.000  -0.06

* energy above the most stable polymorph in this dataset: 656.8 meV per atom
* magnetic moment: 0.6149 μB per atom
* E_form (uncorrected): 5.6 eV per formula unit

***

# 17
# Pr2Dy2Mg15

Crystalline Pr2Dy2Mg15 at its relaxed geometry (GGA-PBE, the Alexandria database).

Cell: 7.946 7.946 7.946 Å, 83.35 83.35 83.35°
Element x y z (fractional)
Mg: 0.704 0.000 0.296
Mg: 0.000 0.704 0.296
Mg: 0.704 0.296 0.000
Pr: 0.332 0.332 0.332
Mg: 0.357 0.844 0.357
Mg: 0.357 0.357 0.844
Mg: 0.000 0.000 0.500
Mg: 0.643 0.156 0.643
Mg: 0.296 0.704 0.000
Mg: 0.844 0.357 0.357
Mg: 0.000 0.296 0.704
Mg: 0.000 0.500 0.000
Dy: 0.900 0.900 0.900
Dy: 0.100 0.100 0.100
Mg: 0.643 0.643 0.156
Mg: 0.500 0.000 0.000
Mg: 0.296 0.000 0.704
Pr: 0.668 0.668 0.668
Mg: 0.156 0.643 0.643

* magnetic moment: 0.0000 μB per atom
* calculated formation energy: -0.011 eV per atom

***

# 18
# MoAsP2

Crystalline MoAsP2 at its relaxed geometry (GGA-PBE, the Alexandria database).

Cell: 3.105 3.105 6.375 Å, 90.00 90.00 90.00°
Element x y z (fractional)
Mo: 0.500 0.500 0.750
P: 0.000 0.000 0.540
As: 0.500 0.500 0.250
P: 0.000 0.000 0.960

* magnetic moment: 0.0000 μB per atom
* calculated formation energy: -0.024 eV per atom

***

# 19
# AcHgAu2

Crystalline AcHgAu2 at its relaxed geometry (GGA-PBE, the Alexandria database).

Cell: 5.255 5.255 5.255 Å, 60.00 60.00 60.00°
Element x y z (fractional)
Au: 0.750 0.750 0.750
Au: 0.250 0.250 0.250
Ac: 0.500 0.500 0.500
Hg: 0.000 0.000 0.000

* energy above the most stable polymorph in this dataset: 0.0 meV per atom
* magnetic moment: 0.0000 μB per atom
* calculated formation energy: -0.589 eV per atom

***

# 20
# Sm2PuIn3Te6

Crystalline Sm2PuIn3Te6 at its relaxed geometry (GGA-PBE, the Alexandria database).

Cell: 7.758 7.758 8.470 Å, 98.78 98.78 120.03°
Site moments in Bohr magnetons follow the coordinates.
Element x y z (fractional)
In: 0.833 0.167 0.500  -0.01
Sm: 0.333 0.667 0.000  0.01
Te: 0.258 0.258 0.775  -0.04
In: 0.500 0.500 0.500  -0.01
Te: 0.075 0.408 0.224  -0.03
In: 0.167 0.833 0.500  -0.01
Te: 0.592 0.925 0.776  -0.03
Te: 0.925 0.592 0.776  -0.03
Pu: 0.000 0.000 0.000  5.25
Sm: 0.667 0.333 0.000  0.01
Te: 0.742 0.742 0.225  -0.04
Te: 0.408 0.075 0.224  -0.03

* magnetic moment: 0.4267 μB per atom
* E_form (uncorrected): -10.6 eV per formula unit